No. 1
Computed, not measured: a relaxed structure of Li2MgTe at the PBE level of DFT.

Summary:
ΔE to the lowest computed polymorph ... 0.0 meV per atom
Space-group type ... P4/mmm (123)
Total magnetic moment ... 0.000 μB/cell

Lattice parameters (Å, degrees): 4.468 4.468 4.149 90.00 90.00 90.00
Positions (direct):
Li (0.000, 0.500, 0.000)
Li (0.500, 0.000, 0.000)
Mg (0.000, 0.000, 0.500)
Te (0.500, 0.500, 0.500)

No. 2
Computed, not measured: a relaxed structure of KLiUCl5 at the PBE level of DFT.

Summary:
Space-group type ... C2/c (15)
DFT total energy ... -75.6 eV per cell
Total magnetic moment ... 6.000 μB/cell

Lattice parameters (Å, degrees): 7.574 7.574 10.190 103.55 103.55 107.48
Positions (direct):
K (0.147, 0.853, 0.750)
K (0.853, 0.147, 0.250)
Li (0.189, 0.811, 0.250)
Li (0.811, 0.189, 0.750)
U (0.500, 0.500, 0.000)
U (0.500, 0.500, 0.500)
Cl (0.118, 0.249, 0.926)
Cl (0.181, 0.579, 0.375)
Cl (0.249, 0.118, 0.426)
Cl (0.409, 0.591, 0.750)
Cl (0.421, 0.819, 0.125)
Cl (0.579, 0.181, 0.875)
Cl (0.591, 0.409, 0.250)
Cl (0.751, 0.882, 0.574)
Cl (0.819, 0.421, 0.625)
Cl (0.882, 0.751, 0.074)

Repeat the second record exactly.
Computed, not measured: a relaxed structure of KLiUCl5 at the PBE level of DFT.

Summary:
Space-group type ... C2/c (15)
DFT total energy ... -75.6 eV per cell
Total magnetic moment ... 6.000 μB/cell

Lattice parameters (Å, degrees): 7.574 7.574 10.190 103.55 103.55 107.48
Positions (direct):
K (0.147, 0.853, 0.750)
K (0.853, 0.147, 0.250)
Li (0.189, 0.811, 0.250)
Li (0.811, 0.189, 0.750)
U (0.500, 0.500, 0.000)
U (0.500, 0.500, 0.500)
Cl (0.118, 0.249, 0.926)
Cl (0.181, 0.579, 0.375)
Cl (0.249, 0.118, 0.426)
Cl (0.409, 0.591, 0.750)
Cl (0.421, 0.819, 0.125)
Cl (0.579, 0.181, 0.875)
Cl (0.591, 0.409, 0.250)
Cl (0.751, 0.882, 0.574)
Cl (0.819, 0.421, 0.625)
Cl (0.882, 0.751, 0.074)

Q: Among the records above, which one has the highest total magnetic moment?
A: KLiUCl5